Version i
# FeBi3P (GGA-PBE, relaxed)
data_FeBi3P
_symmetry_space_group_name_H-M 'P 1'
_symmetry_Int_Tables_number 1
_symmetry_space_group_name_Hall 'P 1'
_cell_length_a 5.073
_cell_length_b 5.073
_cell_length_c 5.073
_cell_angle_alpha 90.00
_cell_angle_beta 90.00
_cell_angle_gamma 90.00
loop_
_atom_site_label
_atom_site_fract_x
_atom_site_fract_y
_atom_site_fract_z
P1 0.500 0.500 0.500
Bi1 0.000 0.500 0.000
Bi2 0.000 0.000 0.500
Bi3 0.500 0.000 0.000
Fe1 0.000 0.000 0.000
# ρ = 9.1 g/cm³


Version ii
# FeBi3P (GGA-PBE, relaxed)
data_FeBi3P
_symmetry_space_group_name_H-M 'P 1'
_symmetry_Int_Tables_number 1
_symmetry_space_group_name_Hall 'P 1'
_cell_length_a 5.373
_cell_length_b 5.373
_cell_length_c 5.373
_cell_angle_alpha 90.00
_cell_angle_beta 90.00
_cell_angle_gamma 90.00
loop_
_atom_site_label
_atom_site_fract_x
_atom_site_fract_y
_atom_site_fract_z
P1 0.000 0.000 0.000
Bi1 0.000 0.500 0.000
Bi2 0.000 0.000 0.500
Bi3 0.500 0.000 0.000
Fe1 0.500 0.500 0.500
# ρ = 7.6 g/cm³


The energy of each structure relative to the most stable one, in meV/atom, is as follows: version i 0; version ii 386.


Version i
# FeBiPS2 (GGA-PBE, relaxed)
data_FeBiPS2
_symmetry_space_group_name_H-M 'P 1'
_symmetry_Int_Tables_number 1
_symmetry_space_group_name_Hall 'P 1'
_cell_length_a 5.152
_cell_length_b 5.152
_cell_length_c 5.261
_cell_angle_alpha 90.00
_cell_angle_beta 90.00
_cell_angle_gamma 90.00
loop_
_atom_site_label
_atom_site_fract_x
_atom_site_fract_y
_atom_site_fract_z
P1 0.000 0.000 0.500
S1 0.000 0.500 0.000
S2 0.500 0.000 0.000
Bi1 0.000 0.000 0.000
Fe1 0.500 0.500 0.500
# ρ = 4.3 g/cm³


Version ii
# FeBiPS2 (GGA-PBE, relaxed)
data_FeBiPS2
_symmetry_space_group_name_H-M 'P 1'
_symmetry_Int_Tables_number 1
_symmetry_space_group_name_Hall 'P 1'
_cell_length_a 4.712
_cell_length_b 4.712
_cell_length_c 4.289
_cell_angle_alpha 90.00
_cell_angle_beta 90.00
_cell_angle_gamma 90.00
loop_
_atom_site_label
_atom_site_fract_x
_atom_site_fract_y
_atom_site_fract_z
P1 0.000 0.000 0.500
S1 0.000 0.500 0.000
S2 0.500 0.000 0.000
Bi1 0.500 0.500 0.500
Fe1 0.000 0.000 0.000
# ρ = 6.3 g/cm³


The energy of each structure relative to the most stable one, in meV/atom, is as follows: version i 1023; version ii 0.


Version i
# FeBiP2S (GGA-PBE, relaxed)
data_FeBiP2S
_symmetry_space_group_name_H-M 'P 1'
_symmetry_Int_Tables_number 1
_symmetry_space_group_name_Hall 'P 1'
_cell_length_a 4.272
_cell_length_b 4.272
_cell_length_c 5.151
_cell_angle_alpha 90.00
_cell_angle_beta 90.00
_cell_angle_gamma 90.00
loop_
_atom_site_label
_atom_site_fract_x
_atom_site_fract_y
_atom_site_fract_z
P1 0.000 0.500 0.000
P2 0.500 0.000 0.000
S1 0.000 0.000 0.500
Bi1 0.500 0.500 0.500
Fe1 0.000 0.000 0.000
# ρ = 6.3 g/cm³


Version ii
# FeBiP2S (GGA-PBE, relaxed)
data_FeBiP2S
_symmetry_space_group_name_H-M 'P 1'
_symmetry_Int_Tables_number 1
_symmetry_space_group_name_Hall 'P 1'
_cell_length_a 5.215
_cell_length_b 5.215
_cell_length_c 5.145
_cell_angle_alpha 90.00
_cell_angle_beta 90.00
_cell_angle_gamma 90.00
loop_
_atom_site_label
_atom_site_fract_x
_atom_site_fract_y
_atom_site_fract_z
P1 0.000 0.500 0.000
P2 0.500 0.000 0.000
S1 0.000 0.000 0.500
Bi1 0.000 0.000 0.000
Fe1 0.500 0.500 0.500
# ρ = 4.3 g/cm³


The energy of each structure relative to the most stable one, in meV/atom, is as follows: version i 0; version ii 1263.


Version i
# FeBiPd3 (GGA-PBE, relaxed)
data_FeBiPd3
_symmetry_space_group_name_H-M 'P 1'
_symmetry_Int_Tables_number 1
_symmetry_space_group_name_Hall 'P 1'
_cell_length_a 4.677
_cell_length_b 4.677
_cell_length_c 4.677
_cell_angle_alpha 90.00
_cell_angle_beta 90.00
_cell_angle_gamma 90.00
loop_
_atom_site_label
_atom_site_fract_x
_atom_site_fract_y
_atom_site_fract_z
Bi1 0.500 0.500 0.500
Pd1 0.000 0.500 0.000
Pd2 0.000 0.000 0.500
Pd3 0.500 0.000 0.000
Fe1 0.000 0.000 0.000
# ρ = 9.5 g/cm³


Version ii
# FeBiPd3 (GGA-PBE, relaxed)
data_FeBiPd3
_symmetry_space_group_name_H-M 'P 1'
_symmetry_Int_Tables_number 1
_symmetry_space_group_name_Hall 'P 1'
_cell_length_a 5.014
_cell_length_b 5.014
_cell_length_c 5.014
_cell_angle_alpha 90.00
_cell_angle_beta 90.00
_cell_angle_gamma 90.00
loop_
_atom_site_label
_atom_site_fract_x
_atom_site_fract_y
_atom_site_fract_z
Bi1 0.000 0.000 0.000
Pd1 0.000 0.500 0.000
Pd2 0.000 0.000 0.500
Pd3 0.500 0.000 0.000
Fe1 0.500 0.500 0.500
# ρ = 7.7 g/cm³


The energy of each structure relative to the most stable one, in meV/atom, is as follows: version i 0; version ii 636.


Version i
# FeBi2TePd (GGA-PBE, relaxed)
data_FeBi2TePd
_symmetry_space_group_name_H-M 'P 1'
_symmetry_Int_Tables_number 1
_symmetry_space_group_name_Hall 'P 1'
_cell_length_a 5.910
_cell_length_b 4.631
_cell_length_c 5.910
_cell_angle_alpha 90.00
_cell_angle_beta 90.00
_cell_angle_gamma 90.00
loop_
_atom_site_label
_atom_site_fract_x
_atom_site_fract_y
_atom_site_fract_z
Te1 0.000 0.000 0.000
Bi1 0.000 0.000 0.500
Bi2 0.500 0.000 0.000
Pd1 0.500 0.500 0.500
Fe1 0.000 0.500 0.000
# ρ = 7.3 g/cm³


Version ii
# FeBi2TePd (GGA-PBE, relaxed)
data_FeBi2TePd
_symmetry_space_group_name_H-M 'P 1'
_symmetry_Int_Tables_number 1
_symmetry_space_group_name_Hall 'P 1'
_cell_length_a 5.363
_cell_length_b 5.265
_cell_length_c 5.363
_cell_angle_alpha 90.00
_cell_angle_beta 90.00
_cell_angle_gamma 90.00
loop_
_atom_site_label
_atom_site_fract_x
_atom_site_fract_y
_atom_site_fract_z
Te1 0.000 0.500 0.000
Bi1 0.000 0.000 0.500
Bi2 0.500 0.000 0.000
Pd1 0.000 0.000 0.000
Fe1 0.500 0.500 0.500
# ρ = 7.8 g/cm³


The energy of each structure relative to the most stable one, in meV/atom, is as follows: version i 283; version ii 0.


Version i
# Pm2FeBi (GGA-PBE, relaxed)
data_Pm2FeBi
_symmetry_space_group_name_H-M 'P 1'
_symmetry_Int_Tables_number 1
_symmetry_space_group_name_Hall 'P 1'
_cell_length_a 4.062
_cell_length_b 5.135
_cell_length_c 5.135
_cell_angle_alpha 90.00
_cell_angle_beta 90.00
_cell_angle_gamma 90.00
loop_
_atom_site_label
_atom_site_fract_x
_atom_site_fract_y
_atom_site_fract_z
Fe1 0.500 0.500 0.500
Bi1 0.500 0.000 0.000
Pm1 0.000 0.000 0.500
Pm2 0.000 0.500 0.000
# ρ = 8.6 g/cm³


Version ii
# Pm2FeBi (GGA-PBE, relaxed)
data_Pm2FeBi
_symmetry_space_group_name_H-M 'P 1'
_symmetry_Int_Tables_number 1
_symmetry_space_group_name_Hall 'P 1'
_cell_length_a 3.652
_cell_length_b 3.652
_cell_length_c 10.413
_cell_angle_alpha 79.90
_cell_angle_beta 79.90
_cell_angle_gamma 60.00
loop_
_atom_site_label
_atom_site_fract_x
_atom_site_fract_y
_atom_site_fract_z
Fe1 0.500 0.500 0.500
Bi1 0.000 0.000 0.000
Pm1 0.108 0.108 0.677
Pm2 0.892 0.892 0.323
# ρ = 7.8 g/cm³


The energy of each structure relative to the most stable one, in meV/atom, is as follows: version i 0; version ii 318.


Version i
# FeBi2Pt (GGA-PBE, relaxed)
data_FeBi2Pt
_symmetry_space_group_name_H-M 'P 1'
_symmetry_Int_Tables_number 1
_symmetry_space_group_name_Hall 'P 1'
_cell_length_a 4.723
_cell_length_b 4.723
_cell_length_c 9.261
_cell_angle_alpha 75.23
_cell_angle_beta 75.23
_cell_angle_gamma 90.00
loop_
_atom_site_label
_atom_site_fract_x
_atom_site_fract_y
_atom_site_fract_z
Bi1 0.614 0.125 0.250
Bi2 0.136 0.625 0.250
Bi3 0.375 0.386 0.750
Bi4 0.875 0.864 0.750
Pt1 0.000 0.000 0.000
Pt2 0.750 0.250 0.500
Fe1 0.500 0.500 0.000
Fe2 0.250 0.750 0.500
# ρ = 11.5 g/cm³


Version ii
# FeBi2Pt (GGA-PBE, relaxed)
data_FeBi2Pt
_symmetry_space_group_name_H-M 'P 1'
_symmetry_Int_Tables_number 1
_symmetry_space_group_name_Hall 'P 1'
_cell_length_a 4.942
_cell_length_b 4.942
_cell_length_c 4.942
_cell_angle_alpha 60.00
_cell_angle_beta 60.00
_cell_angle_gamma 60.00
loop_
_atom_site_label
_atom_site_fract_x
_atom_site_fract_y
_atom_site_fract_z
Bi1 0.250 0.250 0.250
Bi2 0.750 0.750 0.750
Pt1 0.500 0.500 0.500
Fe1 0.000 0.000 0.000
# ρ = 13.0 g/cm³


The energy of each structure relative to the most stable one, in meV/atom, is as follows: version i 111; version ii 0.


Version i
# Rb2Fe2Bi (GGA-PBE, relaxed)
data_Rb2Fe2Bi
_symmetry_space_group_name_H-M 'P 1'
_symmetry_Int_Tables_number 1
_symmetry_space_group_name_Hall 'P 1'
_cell_length_a 4.811
_cell_length_b 4.811
_cell_length_c 7.719
_cell_angle_alpha 71.84
_cell_angle_beta 71.84
_cell_angle_gamma 90.00
loop_
_atom_site_label
_atom_site_fract_x
_atom_site_fract_y
_atom_site_fract_z
Bi1 0.000 0.000 0.000
Rb1 0.750 0.250 0.500
Rb2 0.250 0.750 0.500
Fe1 0.427 0.427 0.147
Fe2 0.573 0.573 0.853
# ρ = 5.1 g/cm³


Version ii
# Rb2Fe2Bi (GGA-PBE, relaxed)
data_Rb2Fe2Bi
_symmetry_space_group_name_H-M 'P 1'
_symmetry_Int_Tables_number 1
_symmetry_space_group_name_Hall 'P 1'
_cell_length_a 10.213
_cell_length_b 10.213
_cell_length_c 3.181
_cell_angle_alpha 90.00
_cell_angle_beta 90.00
_cell_angle_gamma 90.00
loop_
_atom_site_label
_atom_site_fract_x
_atom_site_fract_y
_atom_site_fract_z
Bi1 0.000 0.000 0.000
Bi2 0.500 0.500 0.000
Rb1 0.362 0.862 0.000
Rb2 0.862 0.638 0.000
Rb3 0.638 0.138 0.000
Rb4 0.138 0.362 0.000
Fe1 0.166 0.666 0.500
Fe2 0.666 0.834 0.500
Fe3 0.834 0.334 0.500
Fe4 0.334 0.166 0.500
# ρ = 4.9 g/cm³


The energy of each structure relative to the most stable one, in meV/atom, is as follows: version i 0; version ii 276.


Version i
# Rb2Fe2Bi (GGA-PBE, relaxed)
data_Rb2Fe2Bi
_symmetry_space_group_name_H-M 'P 1'
_symmetry_Int_Tables_number 1
_symmetry_space_group_name_Hall 'P 1'
_cell_length_a 3.266
_cell_length_b 3.266
_cell_length_c 12.453
_cell_angle_alpha 82.47
_cell_angle_beta 82.47
_cell_angle_gamma 90.00
loop_
_atom_site_label
_atom_site_fract_x
_atom_site_fract_y
_atom_site_fract_z
Bi1 0.000 0.000 0.000
Rb1 0.377 0.377 0.246
Rb2 0.623 0.623 0.754
Fe1 0.750 0.250 0.500
Fe2 0.250 0.750 0.500
# ρ = 6.3 g/cm³


Version ii
# Rb2Fe2Bi (GGA-PBE, relaxed)
data_Rb2Fe2Bi
_symmetry_space_group_name_H-M 'P 1'
_symmetry_Int_Tables_number 1
_symmetry_space_group_name_Hall 'P 1'
_cell_length_a 10.004
_cell_length_b 10.004
_cell_length_c 3.312
_cell_angle_alpha 90.00
_cell_angle_beta 90.00
_cell_angle_gamma 90.00
loop_
_atom_site_label
_atom_site_fract_x
_atom_site_fract_y
_atom_site_fract_z
Bi1 0.000 0.000 0.000
Bi2 0.500 0.500 0.000
Rb1 0.209 0.709 0.500
Rb2 0.709 0.791 0.500
Rb3 0.791 0.291 0.500
Rb4 0.291 0.209 0.500
Fe1 0.426 0.926 0.000
Fe2 0.926 0.574 0.000
Fe3 0.574 0.074 0.000
Fe4 0.074 0.426 0.000
# ρ = 4.9 g/cm³


The energy of each structure relative to the most stable one, in meV/atom, is as follows: version i 0; version ii 241.


Version i
# Fe2Bi2Rh (GGA-PBE, relaxed)
data_Fe2Bi2Rh
_symmetry_space_group_name_H-M 'P 1'
_symmetry_Int_Tables_number 1
_symmetry_space_group_name_Hall 'P 1'
_cell_length_a 5.050
_cell_length_b 5.050
_cell_length_c 5.125
_cell_angle_alpha 60.49
_cell_angle_beta 60.49
_cell_angle_gamma 90.00
loop_
_atom_site_label
_atom_site_fract_x
_atom_site_fract_y
_atom_site_fract_z
Rh1 0.000 0.000 0.000
Bi1 0.750 0.250 0.500
Bi2 0.250 0.750 0.500
Fe1 0.364 0.364 0.273
Fe2 0.636 0.636 0.727
# ρ = 11.2 g/cm³


Version ii
# Fe2Bi2Rh (GGA-PBE, relaxed)
data_Fe2Bi2Rh
_symmetry_space_group_name_H-M 'P 1'
_symmetry_Int_Tables_number 1
_symmetry_space_group_name_Hall 'P 1'
_cell_length_a 6.772
_cell_length_b 6.772
_cell_length_c 3.820
_cell_angle_alpha 90.00
_cell_angle_beta 90.00
_cell_angle_gamma 90.00
loop_
_atom_site_label
_atom_site_fract_x
_atom_site_fract_y
_atom_site_fract_z
Rh1 0.000 0.000 0.000
Rh2 0.500 0.500 0.000
Bi1 0.184 0.684 0.500
Bi2 0.684 0.816 0.500
Bi3 0.816 0.316 0.500
Bi4 0.316 0.184 0.500
Fe1 0.385 0.885 0.000
Fe2 0.885 0.615 0.000
Fe3 0.615 0.115 0.000
Fe4 0.115 0.385 0.000
# ρ = 12.0 g/cm³


The energy of each structure relative to the most stable one, in meV/atom, is as follows: version i 200; version ii 0.


Version i
# FeBi2Ru (GGA-PBE, relaxed)
data_FeBi2Ru
_symmetry_space_group_name_H-M 'P 1'
_symmetry_Int_Tables_number 1
_symmetry_space_group_name_Hall 'P 1'
_cell_length_a 4.757
_cell_length_b 4.757
_cell_length_c 4.757
_cell_angle_alpha 60.00
_cell_angle_beta 60.00
_cell_angle_gamma 60.00
loop_
_atom_site_label
_atom_site_fract_x
_atom_site_fract_y
_atom_site_fract_z
Ru1 0.500 0.500 0.500
Bi1 0.250 0.250 0.250
Bi2 0.750 0.750 0.750
Fe1 0.000 0.000 0.000
# ρ = 12.5 g/cm³


Version ii
# FeBi2Ru (GGA-PBE, relaxed)
data_FeBi2Ru
_symmetry_space_group_name_H-M 'P 1'
_symmetry_Int_Tables_number 1
_symmetry_space_group_name_Hall 'P 1'
_cell_length_a 6.492
_cell_length_b 6.492
_cell_length_c 7.011
_cell_angle_alpha 62.42
_cell_angle_beta 62.42
_cell_angle_gamma 90.00
loop_
_atom_site_label
_atom_site_fract_x
_atom_site_fract_y
_atom_site_fract_z
Ru1 0.000 0.000 0.000
Ru2 0.750 0.250 0.500
Bi1 0.628 0.125 0.250
Bi2 0.122 0.625 0.250
Bi3 0.375 0.372 0.750
Bi4 0.875 0.878 0.750
Fe1 0.500 0.500 0.000
Fe2 0.250 0.750 0.500
# ρ = 8.5 g/cm³


The energy of each structure relative to the most stable one, in meV/atom, is as follows: version i 0; version ii 243.


Version i
# FeBiS3 (GGA-PBE, relaxed)
data_FeBiS3
_symmetry_space_group_name_H-M 'P 1'
_symmetry_Int_Tables_number 1
_symmetry_space_group_name_Hall 'P 1'
_cell_length_a 4.569
_cell_length_b 4.569
_cell_length_c 4.569
_cell_angle_alpha 90.00
_cell_angle_beta 90.00
_cell_angle_gamma 90.00
loop_
_atom_site_label
_atom_site_fract_x
_atom_site_fract_y
_atom_site_fract_z
S1 0.000 0.500 0.000
S2 0.000 0.000 0.500
S3 0.500 0.000 0.000
Bi1 0.500 0.500 0.500
Fe1 0.000 0.000 0.000
# ρ = 6.3 g/cm³


Version ii
# FeBiS3 (GGA-PBE, relaxed)
data_FeBiS3
_symmetry_space_group_name_H-M 'P 1'
_symmetry_Int_Tables_number 1
_symmetry_space_group_name_Hall 'P 1'
_cell_length_a 5.154
_cell_length_b 5.154
_cell_length_c 5.154
_cell_angle_alpha 90.00
_cell_angle_beta 90.00
_cell_angle_gamma 90.00
loop_
_atom_site_label
_atom_site_fract_x
_atom_site_fract_y
_atom_site_fract_z
S1 0.000 0.500 0.000
S2 0.000 0.000 0.500
S3 0.500 0.000 0.000
Bi1 0.000 0.000 0.000
Fe1 0.500 0.500 0.500
# ρ = 4.4 g/cm³


The energy of each structure relative to the most stable one, in meV/atom, is as follows: version i 0; version ii 917.